Record 1
The following is a PBE calculation of a relaxed structure of K6TaBr12, from Alexandria.

Calculated values
The crystal system is trigonal. The calculation puts the uncorrected formation energy at -1322 meV per atom.

Cell lengths 13.4974, 13.4974, 15.9760 Å; angles 90.00, 90.00, 120.00 degrees
With the nearest neighbours (Å) after each atom.
Space group R-3 (No. 148, hexagonal axes)
Inequivalent atoms, fractional coordinates:
K 0.0451 0.2669 0.1096 [18 per cell]  4 Br 3.22-3.27
Ta 0.0000 0.0000 0.5000 [3 per cell]  6 Br 2.54
Br 0.0400 0.2489 0.9054 [18 per cell]  4 K 3.22-3.27
Br 0.0804 0.1770 0.4079 [18 per cell]  1 Ta 2.54



Record 2
The following is a PBE calculation of a relaxed structure of La2ReSi, from Alexandria.

Calculated values
The crystal system is trigonal. The calculation puts the uncorrected formation energy at 398 meV per atom.

Cell lengths 3.5972, 3.5972, 27.3035 Å; angles 90.00, 90.00, 120.00 degrees
With the nearest neighbours (Å) after each atom.
Space group R-3m (No. 166, hexagonal axes)
Inequivalent atoms, fractional coordinates:
La 0.0000 0.0000 0.2470 [6 per cell]  3 Re 3.02, 3 Si 3.14
Re 0.0000 0.0000 0.5000 [3 per cell]  6 La 3.02
Si 0.0000 0.0000 0.0000 [3 per cell]  6 La 3.14



Record 3
The following is a PBE calculation of a relaxed structure of HgSbAu, from Alexandria.

Calculated values
The crystal system is trigonal. The calculation puts the uncorrected formation energy at 59 meV per atom.

Cell lengths 4.1296, 4.1296, 5.1358 Å; angles 90.00, 90.00, 120.00 degrees
With the nearest neighbours (Å) after each atom.
Space group P3m1 (No. 156)
Inequivalent atoms, fractional coordinates:
Hg 0.0000 0.0000 0.0000 [1 per cell]  3 Au 2.93, 3 Sb 3.12
Sb 0.6667 0.3333 0.3914 [1 per cell]  3 Au 2.78
Au 0.3333 0.6667 0.6691 [1 per cell]  3 Sb 2.78, 3 Hg 2.93



Record 4
The following is a PBE calculation of a relaxed structure of Er2Mg8Cd, from Alexandria.

Calculated values
The electronic total energy comes out at -2.111 eV per atom. The crystal system is tetragonal.

Cell lengths 4.6625, 4.6625, 12.6458 Å; angles 90.00, 90.00, 90.00 degrees
With the nearest neighbours (Å) after each atom.
Space group P4/mmm (No. 123)
Inequivalent atoms, fractional coordinates:
Er 0.0000 0.0000 0.1876 [2 per cell]  12 Mg 3.26-3.33
Mg 0.0000 0.5000 0.0000 [2 per cell]  8 Mg 3.30-3.32, 4 Er 3.33
Mg 0.0000 0.5000 0.3679 [4 per cell]  2 Cd 2.87
Mg 0.5000 0.5000 0.1873 [2 per cell]  8 Mg 3.26-3.32, 4 Er 3.30
Cd 0.0000 0.0000 0.5000 [1 per cell]  8 Mg 2.87



Record 5
The following is a PBE calculation of a relaxed structure of ScTlAs2, from Alexandria.

Calculated values
The crystal system is tetragonal. The energy relative to the lowest polymorph listed for this composition is 184 meV per atom.

Cell lengths 6.2180, 6.2180, 12.5707 Å; angles 90.00, 90.00, 90.00 degrees
With the nearest neighbours (Å) after each atom.
Space group I-42d (No. 122)
Inequivalent atoms, fractional coordinates:
Sc 0.0000 0.0000 0.0000 [4 per cell]  4 As 2.65
Tl 0.0000 0.0000 0.5000 [4 per cell]  4 As 2.75
As 0.2357 0.2500 0.1250 [8 per cell]  2 Sc 2.65, 2 Tl 2.75